Entry 1:
AgRhCl2 PBE-GGA relaxed; E_form (uncorrected) = 0.445 eV/f.u.; crystal system = tetragonal; energy above the lowest structure with this stoichiometry = 318 meV per atom
1.0
-2.858 2.858 6.165
2.858 -2.858 6.165
2.858 2.858 -6.165
Ag Rh Cl
2 2 4
Direct
0.000 0.000 0.000
0.750 0.250 0.500
0.250 0.750 0.500
0.500 0.500 0.000
0.148 0.625 0.023
0.375 0.398 0.523
0.602 0.125 0.977
0.875 0.852 0.477



Entry 2:
Ag3RhCl6 PBE-GGA relaxed; E_form (uncorrected) = -4.979 eV/f.u.; crystal system = trigonal; energy above the lowest structure with this stoichiometry = 0 meV per atom
1.0
5.505 3.178 4.590
-5.505 3.178 4.590
0.000 -6.357 4.590
Ag Rh Cl
6 2 12
Direct
0.049 0.583 0.740
0.260 0.951 0.417
0.417 0.260 0.951
0.583 0.740 0.049
0.740 0.049 0.583
0.951 0.417 0.260
0.000 0.000 0.000
0.500 0.500 0.500
0.039 0.950 0.705
0.050 0.295 0.961
0.209 0.561 0.443
0.295 0.961 0.050
0.439 0.557 0.791
0.443 0.209 0.561
0.557 0.791 0.439
0.561 0.443 0.209
0.705 0.039 0.950
0.791 0.439 0.557
0.950 0.705 0.039
0.961 0.050 0.295